! NaAsS3 PBE relaxed; values from VASP
&SYSTEM
  ibrav = 0, nat = 10, ntyp = 3
/
ATOMIC_SPECIES
Na 22.99 Na.upf
As 74.92 As.upf
S 32.06 S.upf
CELL_PARAMETERS angstrom
4.7436 0.0000 0.0000
0.0000 5.8512 0.0000
-0.3609 0.0000 9.9623
ATOMIC_POSITIONS angstrom
Na 0.8121 0.0000 3.4277
Na 3.5706 2.9256 6.5347
As 0.6333 0.2465 7.0593
As 3.7494 3.1721 2.9031
S 0.5338 2.2210 1.3868
S 1.2584 4.3719 5.8949
S 1.9507 3.6902 1.4281
S 2.4321 0.7646 8.5342
S 3.1243 1.4463 4.0675
S 3.8489 5.1466 8.5755
! Magnetic moment   0.000 μB/atom
! Energy relative to the lowest polymorph listed for this composition   0 meV/atom
! Final energy   -4.105 eV/atom
! E_form (uncorrected)   -0.43 eV per atom
! Crystal system   monoclinic

***

! MnOsCl2 PBE relaxed; values from VASP
&SYSTEM
  ibrav = 0, nat = 4, ntyp = 3
/
ATOMIC_SPECIES
Mn 54.94 Mn.upf
Os 190.23 Os.upf
Cl 35.45 Cl.upf
CELL_PARAMETERS angstrom
1.5339 0.8856 9.3227
-1.5339 0.8856 9.3227
0.0000 -1.7712 9.3227
ATOMIC_POSITIONS angstrom
Mn 0.0000 0.0000 0.0000
Os 0.0000 0.0000 13.9840
Cl 0.0000 0.0000 7.6571
Cl 0.0000 0.0000 20.3110
! Magnetic moment   0.582 μB/atom
! Energy relative to the lowest polymorph listed for this composition   647 meV/atom
! Final energy   -5.407 eV/atom
! E_form (uncorrected)   0.62 eV per atom
! Crystal system   trigonal

***

! DyTc3B2 PBE relaxed; values from VASP
&SYSTEM
  ibrav = 0, nat = 6, ntyp = 3
/
ATOMIC_SPECIES
Dy 162.50 Dy.upf
Tc 98.00 Tc.upf
B 10.81 B.upf
CELL_PARAMETERS angstrom
5.5097 0.0000 0.0000
-2.7548 4.7715 0.0000
0.0000 0.0000 3.1584
ATOMIC_POSITIONS angstrom
Dy 0.0000 0.0000 0.0000
Tc -1.3774 2.3858 1.5792
Tc 2.7548 0.0000 1.5792
Tc 1.3774 2.3858 1.5792
B 0.0000 3.1810 0.0000
B 2.7548 1.5905 0.0000
! Magnetic moment   0.000 μB/atom
! Energy of formation from the pure elements   -276 meV per atom
! Final energy   -8.452 eV/atom
! Crystal system   hexagonal

***

! BaWSe3 PBE relaxed; values from VASP
&SYSTEM
  ibrav = 0, nat = 5, ntyp = 3
/
ATOMIC_SPECIES
Ba 137.33 Ba.upf
W 183.84 W.upf
Se 78.96 Se.upf
CELL_PARAMETERS angstrom
5.7775 0.0000 0.0000
0.0000 5.7775 0.0000
0.0000 0.0000 5.7775
ATOMIC_POSITIONS angstrom
Ba 0.0000 0.0000 0.0000
W 2.8887 2.8887 2.8887
Se 0.0000 0.0000 2.8887
Se 0.0000 2.8887 0.0000
Se 2.8887 0.0000 0.0000
! Magnetic moment   0.000 μB/atom
! Energy relative to the lowest polymorph listed for this composition   2636 meV/atom
! Final energy   -3.155 eV/atom
! E_form (uncorrected)   1.91 eV per atom
! Crystal system   cubic

***

! CrPbW PBE relaxed; values from VASP
&SYSTEM
  ibrav = 0, nat = 3, ntyp = 3
/
ATOMIC_SPECIES
Cr 52.00 Cr.upf
Pb 207.20 Pb.upf
W 183.84 W.upf
CELL_PARAMETERS angstrom
-1.5511 1.5511 5.6385
1.5511 -1.5511 5.6385
1.5511 1.5511 -5.6385
ATOMIC_POSITIONS angstrom
Cr 0.0000 0.0000 0.0000
Pb 0.0000 0.0000 3.5533
W 0.0000 0.0000 6.8951
! Magnetic moment   0.056 μB/atom
! Energy relative to the lowest polymorph listed for this composition   47 meV/atom
! Energy of formation from the pure elements   762 meV per atom
! Final energy   -8.000 eV/atom
! Crystal system   tetragonal

***

! NdTm6Sc4 PBE relaxed; values from VASP
&SYSTEM
  ibrav = 0, nat = 11, ntyp = 3
/
ATOMIC_SPECIES
Nd 144.24 Nd.upf
Tm 168.93 Tm.upf
Sc 44.96 Sc.upf
CELL_PARAMETERS angstrom
-3.1543 3.1543 8.2751
3.1543 -3.1543 8.2751
3.1543 3.1543 -8.2751
ATOMIC_POSITIONS angstrom
Nd 0.0000 0.0000 0.0000
Tm 3.1543 0.0000 0.0000
Tm 1.9671 -1.9671 5.3418
Tm 1.1872 1.1872 2.9333
Tm 0.0000 3.1543 0.0000
Tm -1.9671 1.9671 5.3418
Tm 1.9671 1.9671 11.2084
Sc 2.0448 2.0448 -2.1350
Sc 1.1095 -1.1095 10.4101
Sc 1.1095 1.1095 6.1401
Sc -1.1095 1.1095 10.4101
! Magnetic moment   0.000 μB/atom
! Energy of formation from the pure elements   339 meV per atom
! Final energy   -4.836 eV/atom
! Crystal system   tetragonal

***

! H3PdCl PBE relaxed; values from VASP
&SYSTEM
  ibrav = 0, nat = 5, ntyp = 3
/
ATOMIC_SPECIES
H 1.01 H.upf
Pd 106.42 Pd.upf
Cl 35.45 Cl.upf
CELL_PARAMETERS angstrom
3.6469 0.0000 0.0000
0.0000 3.6469 0.0000
0.0000 0.0000 3.6469
ATOMIC_POSITIONS angstrom
H 0.0000 0.0000 1.8235
H 0.0000 1.8235 0.0000
H 1.8235 0.0000 0.0000
Pd 0.0000 0.0000 0.0000
Cl 1.8235 1.8235 1.8235
! Magnetic moment   0.000 μB/atom
! Energy relative to the lowest polymorph listed for this composition   0 meV/atom
! Final energy   -2.923 eV/atom
! Crystal system   cubic

***

! Li5Ag3Pd PBE relaxed; values from VASP
&SYSTEM
  ibrav = 0, nat = 18, ntyp = 3
/
ATOMIC_SPECIES
Li 6.94 Li.upf
Ag 107.87 Ag.upf
Pd 106.42 Pd.upf
CELL_PARAMETERS angstrom
6.2577 -4.5932 0.0000
6.2577 4.5932 0.0000
-5.4507 0.0000 6.3122
ATOMIC_POSITIONS angstrom
Li 1.8502 2.3328 3.3410
Li 6.2577 2.4244 0.0000
Li 1.6658 0.0000 1.6111
Li -1.7812 0.0000 5.6325
Li 5.2145 2.3328 2.9711
Li 1.8502 -2.3328 3.3410
Li 8.8458 0.0000 0.6797
Li 5.3988 0.0000 4.7011
Li 6.2577 -2.4244 0.0000
Li 5.2145 -2.3328 2.9711
Ag -2.7253 0.0000 3.1561
Ag -0.9210 0.0000 1.0951
Ag 4.3179 0.0000 2.0174
Ag 6.2577 0.0000 0.0000
Ag 2.7467 0.0000 4.2947
Ag 7.9856 0.0000 5.2170
Pd 0.0534 0.0000 3.6963
Pd 7.0112 0.0000 2.6158
! Magnetic moment   0.000 μB/atom
! Energy of formation from the pure elements   -101 meV per atom
! Final energy   -2.691 eV/atom
! Crystal system   monoclinic

***

! Na5H7Se4O18 PBE relaxed; values from VASP
&SYSTEM
  ibrav = 0, nat = 34, ntyp = 4
/
ATOMIC_SPECIES
Na 22.99 Na.upf
H 1.01 H.upf
Se 78.96 Se.upf
O 16.00 O.upf
CELL_PARAMETERS angstrom
6.2159 0.0000 0.0000
-2.0091 6.9836 0.0000
-1.5547 -1.6938 11.2634
ATOMIC_POSITIONS angstrom
Na 0.0000 0.0000 0.0000
Na -2.4029 4.0858 8.2015
Na 0.6227 0.0194 6.0570
Na 1.0381 2.4710 2.3603
Na 0.6682 1.3872 9.3211
H -1.5047 2.5360 4.6280
H -0.8599 3.0741 10.7969
H -0.1364 3.2872 10.8143
H 1.5272 -1.2199 10.2417
H 2.0450 -1.4108 9.7309
H 3.6599 0.8783 3.5125
H 3.3908 4.2813 2.9038
Se 0.3880 4.3781 5.4480
Se 0.4230 6.1048 2.5954
Se 4.3048 3.2976 0.5996
Se 3.9642 0.5734 7.5633
O -0.7351 2.1617 0.8677
O -1.2893 1.9090 7.8275
O -0.5825 -0.7370 9.2026
O -0.0635 3.0048 4.5527
O -0.8029 4.7147 6.5594
O 1.3506 0.2487 2.0366
O -0.2302 5.8545 4.2563
O 2.7520 2.7261 0.4962
O 2.3288 0.8743 7.5169
O 2.5849 3.9173 3.4069
O 3.8948 0.0764 2.9630
O 2.1706 3.3302 9.8679
O 3.0863 3.5467 4.7203
O 3.7124 2.2469 4.6579
O 4.5300 -0.3027 6.2736
O 3.1559 2.3012 10.2220
O 4.1943 -0.5141 9.0290
O 4.4277 4.5777 1.6797
! Magnetic moment   0.003 μB/atom
! Energy relative to the lowest polymorph listed for this composition   355 meV/atom
! Final energy   -4.688 eV/atom
! Crystal system   triclinic

***

! Sc2TaBe2Ir5 PBE relaxed; values from VASP
&SYSTEM
  ibrav = 0, nat = 20, ntyp = 4
/
ATOMIC_SPECIES
Sc 44.96 Sc.upf
Ta 180.95 Ta.upf
Be 9.01 Be.upf
Ir 192.22 Ir.upf
CELL_PARAMETERS angstrom
9.4962 0.0000 0.0000
0.0000 9.4962 0.0000
0.0000 0.0000 3.2413
ATOMIC_POSITIONS angstrom
Sc 1.6534 3.0947 0.0000
Sc 3.0947 7.8428 0.0000
Sc 6.4015 1.6534 0.0000
Sc 7.8428 6.4015 0.0000
Ta 0.0000 0.0000 0.0000
Ta 4.7481 4.7481 0.0000
Be 1.1405 5.8886 0.0000
Be 3.6076 1.1405 0.0000
Be 5.8886 8.3558 0.0000
Be 8.3558 3.6076 0.0000
Ir 0.0000 4.7481 1.6206
Ir 0.6708 7.4733 1.6206
Ir 2.0229 0.6708 1.6206
Ir 2.7252 5.4189 1.6206
Ir 4.0773 2.7252 1.6206
Ir 4.7481 0.0000 1.6206
Ir 5.4189 6.7710 1.6206
Ir 6.7710 4.0773 1.6206
Ir 7.4733 8.8254 1.6206
Ir 8.8254 2.0229 1.6206
! Magnetic moment   0.000 μB/atom
! Energy of formation from the pure elements   -868 meV per atom
! Final energy   -8.496 eV/atom
! Crystal system   tetragonal

***

! Sm2Ga5Cu4 PBE relaxed; values from VASP
&SYSTEM
  ibrav = 0, nat = 11, ntyp = 3
/
ATOMIC_SPECIES
Sm 150.36 Sm.upf
Ga 69.72 Ga.upf
Cu 63.55 Cu.upf
CELL_PARAMETERS angstrom
0.0000 4.6799 7.5082
2.7912 0.0000 7.5082
2.7912 4.6799 0.0000
ATOMIC_POSITIONS angstrom
Sm 2.7912 4.6799 2.0608
Sm 2.7912 4.6799 12.9557
Ga 1.3956 2.3400 0.0000
Ga 1.3956 2.3400 3.7541
Ga 1.3956 2.3400 7.5082
Ga 2.7912 4.6799 7.5082
Ga 4.1869 7.0199 11.2623
Cu 2.7912 3.3695 5.4659
Cu 2.7912 3.3695 9.5505
Cu 2.7912 5.9903 5.4659
Cu 2.7912 5.9903 9.5505
! Magnetic moment   0.000 μB/atom
! Energy of formation from the pure elements   -354 meV per atom
! Final energy   -4.077 eV/atom
! Crystal system   orthorhombic

***

! LaCeBi PBE relaxed; values from VASP
&SYSTEM
  ibrav = 0, nat = 6, ntyp = 3
/
ATOMIC_SPECIES
La 138.91 La.upf
Ce 140.12 Ce.upf
Bi 208.98 Bi.upf
CELL_PARAMETERS angstrom
4.5921 0.0000 0.0000
0.0000 4.5921 0.0000
0.0000 0.0000 10.3068
ATOMIC_POSITIONS angstrom
La 1.1480 1.1480 1.7866
La 3.4441 3.4441 8.5202
Ce 1.1480 1.1480 5.6543
Ce 3.4441 3.4441 4.6525
Bi 1.1480 1.1480 8.8184
Bi 3.4441 3.4441 1.4883
! Magnetic moment   0.717 μB/atom
! Energy of formation from the pure elements   -367 meV per atom
! Final energy   -5.281 eV/atom
! Crystal system   tetragonal